Entry from Alexandria via LeMat-Bulk: crystalline Li2Nd3In5 at its relaxed geometry (PBE-GGA).

size of the total moment: 0.00 μB per formula unit
energy of formation from the pure elements: -0.4201 eV/atom
total DFT energy (no corrections): -36.02 eV per formula unit

Cell: 4.467 10.579 10.579 Å, 90.00 90.00 90.00°
Fractional positions:
Nd 0.000 0.175 0.325
In 0.500 0.283 0.572
In 0.500 0.428 0.283
Nd 0.000 0.825 0.675
Nd 0.000 0.500 0.500
In 0.500 0.928 0.217
Li 0.000 0.119 0.619
In 0.500 0.072 0.783
In 0.500 0.572 0.717
In 0.500 0.500 0.000
In 0.500 0.000 0.500
In 0.500 0.217 0.072
Nd 0.000 0.675 0.175
Nd 0.000 0.325 0.825
In 0.500 0.717 0.428
Li 0.000 0.381 0.119
In 0.500 0.783 0.928
Nd 0.000 0.000 0.000
Li 0.000 0.619 0.881
Li 0.000 0.881 0.381

=====

Entry from Alexandria via LeMat-Bulk: crystalline Li3NdIn3 at its relaxed geometry (PBE-GGA).

size of the total moment: 0.00 μB per formula unit
energy of formation from the pure elements: 0.1453 eV/atom
total DFT energy (no corrections): -17.71 eV per formula unit

Cell: 7.092 7.092 7.092 Å, 90.00 90.00 90.00°
Fractional positions:
In 0.500 0.250 0.000
In 0.500 0.750 0.000
In 0.750 0.000 0.500
Nd 0.500 0.500 0.500
Li 0.750 0.500 0.000
Li 0.000 0.250 0.500
In 0.000 0.500 0.750
Li 0.500 0.000 0.250
Li 0.500 0.000 0.750
In 0.250 0.000 0.500
In 0.000 0.500 0.250
Li 0.250 0.500 0.000
Nd 0.000 0.000 0.000
Li 0.000 0.750 0.500

=====

Entry from Alexandria via LeMat-Bulk: crystalline LiNd8In2 at its relaxed geometry (PBE-GGA).

size of the total moment: 0.00 μB per formula unit
energy of formation from the pure elements: -0.1309 eV/atom
total DFT energy (no corrections): -46.97 eV per formula unit

Cell: 5.390 7.163 9.611 Å, 99.47 106.28 90.00°
Fractional positions:
Nd 0.595 0.457 0.190
In 0.799 0.274 0.598
Nd 0.658 0.946 0.315
Nd 0.025 0.750 0.051
Li 0.500 0.000 0.000
Nd 0.405 0.543 0.810
In 0.201 0.726 0.402
Nd 0.342 0.054 0.685
Nd 0.811 0.729 0.622
Nd 0.189 0.271 0.378
Nd 0.975 0.250 0.949

=====

Entry from Alexandria via LeMat-Bulk: crystalline LiNd2In4 at its relaxed geometry (PBE-GGA).

size of the total moment: 0.00 μB per formula unit
energy of formation from the pure elements: -0.2268 eV/atom
total DFT energy (no corrections): -23.99 eV per formula unit

Cell: 4.828 4.828 8.813 Å, 105.90 105.90 90.00°
Fractional positions:
Nd 0.643 0.643 0.286
Li 0.000 0.000 0.000
Nd 0.357 0.357 0.714
In 0.838 0.838 0.677
In 0.500 0.000 0.000
In 0.162 0.162 0.323
In 0.000 0.500 0.000

=====

Entry from Alexandria via LeMat-Bulk: crystalline Li2Nd3In4 at its relaxed geometry (PBE-GGA).

size of the total moment: 0.00 μB per formula unit
energy of formation from the pure elements: -0.4295 eV/atom
total DFT energy (no corrections): -32.95 eV per formula unit

Cell: 4.995 6.145 8.827 Å, 76.14 73.57 66.02°
Fractional positions:
In 0.955 0.717 0.374
Li 0.605 0.065 0.725
Nd 0.668 0.323 0.342
In 0.734 0.610 0.921
Nd 0.332 0.677 0.658
Li 0.395 0.935 0.275
In 0.266 0.390 0.079
In 0.045 0.283 0.626
Nd 0.000 0.000 0.000

=====

Entry from Alexandria via LeMat-Bulk: crystalline LiNd5In6 at its relaxed geometry (PBE-GGA).

size of the total moment: 0.00 μB per formula unit
energy of formation from the pure elements: -0.4512 eV/atom
total DFT energy (no corrections): -47.60 eV per formula unit

Cell: 5.378 7.675 9.355 Å, 114.22 106.70 90.00°
Fractional positions:
In 0.157 0.924 0.315
In 0.843 0.609 0.685
Nd 0.674 0.174 0.347
In 0.157 0.391 0.315
Nd 0.663 0.663 0.325
In 0.843 0.076 0.685
Nd 0.337 0.337 0.675
Nd 0.000 0.500 0.000
In 0.500 0.220 0.000
Nd 0.326 0.826 0.653
Li 0.000 0.000 0.000
In 0.500 0.780 0.000